No. 1
Material: Ce2ThZn2Si2
Method: DFT, PBE-GGA
State: optimized geometry

Properties
As for the uncorrected formation energy: -0.3908 eV per atom.

a = 4.2315 Å, b = 4.2315 Å, c = 28.3464 Å
α = 90.00°, β = 90.00°, γ = 120.00°
Space group R-3m (No. 166, hexagonal axes)
Symmetry-distinct sites (fractional):
Ce1 0.0000 0.0000 0.1408 (multiplicity 6)
Th1 0.0000 0.0000 0.0000 (multiplicity 3)
Zn1 0.0000 0.0000 0.4060 (multiplicity 6)
Si1 0.0000 0.0000 0.2619 (multiplicity 6)

---

No. 2
Material: ZnGa8Pd2
Method: DFT, PBE-GGA
State: optimized geometry

Properties
Its formation energy is -233 meV/atom. The relative energy among the computed polymorphs is 0.0 meV per atom.

a = 4.689 Å, b = 5.185 Å, c = 8.473 Å
α = 107.51°, β = 105.94°, γ = 90.25°
Space group P-1 (No. 2)
Symmetry-distinct sites (fractional):
Zn1 0.000 0.000 0.000 (multiplicity 1)
Ga1 0.184 0.939 0.374 (multiplicity 2)
Ga2 0.195 0.438 0.378 (multiplicity 2)
Ga3 0.250 0.575 0.000 (multiplicity 2)
Ga4 0.395 0.897 0.794 (multiplicity 2)
Pd1 0.344 0.346 0.689 (multiplicity 2)

---

No. 3
Material: Mg14CuBi
Method: DFT, PBE-GGA
State: optimized geometry

Properties
Its formation energy is 9 meV/atom. The relative energy among the computed polymorphs is 9.0 meV per atom.

a = 10.171 Å, b = 6.443 Å, c = 10.973 Å
α = 90.00°, β = 90.00°, γ = 90.00°
Space group Amm2 (No. 38)
Symmetry-distinct sites (fractional):
Mg1 0.000 0.000 0.000 (multiplicity 2)
Mg2 0.000 0.000 0.498 (multiplicity 2)
Mg3 0.000 0.247 0.247 (multiplicity 4)
Mg4 0.245 0.000 0.828 (multiplicity 4)
Mg5 0.259 0.238 0.580 (multiplicity 8)
Mg6 0.261 0.000 0.333 (multiplicity 4)
Mg7 0.500 0.247 0.752 (multiplicity 4)
Cu1 0.500 0.000 0.492 (multiplicity 2)
Bi1 0.500 0.000 0.998 (multiplicity 2)

---

No. 4
Material: KCo2Ir
Method: DFT, PBE-GGA
State: optimized geometry

Properties
Its formation energy is 1285 meV/atom. The relative energy among the computed polymorphs is 708.2 meV per atom.

a = 6.337 Å, b = 6.337 Å, c = 6.337 Å
α = 90.00°, β = 90.00°, γ = 90.00°
Space group F-43m (No. 216)
Symmetry-distinct sites (fractional):
K1 0.000 0.000 0.000 (multiplicity 4)
Co1 0.000 0.000 0.500 (multiplicity 4)
Co2 0.250 0.250 0.250 (multiplicity 4)
Ir1 0.250 0.250 0.750 (multiplicity 4)

---

No. 5
Material: K3Ta2BiO9
Method: DFT, PBE-GGA
State: optimized geometry

Properties
As for the uncorrected formation energy: -2.1251 eV per atom.

a = 5.7899 Å, b = 5.7899 Å, c = 7.1001 Å
α = 90.00°, β = 90.00°, γ = 120.00°
Space group P-3m1 (No. 164)
Symmetry-distinct sites (fractional):
K1 0.0000 0.0000 0.0000 (multiplicity 1)
K2 0.3333 0.6667 0.6649 (multiplicity 2)
Ta1 0.3333 0.6667 0.1602 (multiplicity 2)
Bi1 0.0000 0.0000 0.5000 (multiplicity 1)
O1 0.0000 0.5000 0.0000 (multiplicity 3)
O2 0.1719 0.3438 0.3243 (multiplicity 6)

---

No. 6
Material: AcCeDyIn
Method: DFT, PBE-GGA
State: optimized geometry

Properties
Its formation energy is -11 meV/atom.

a = 7.937 Å, b = 7.937 Å, c = 7.937 Å
α = 90.00°, β = 90.00°, γ = 90.00°
Space group F-43m (No. 216)
Symmetry-distinct sites (fractional):
Ac1 0.000 0.000 0.000 (multiplicity 4)
Ce1 0.250 0.250 0.250 (multiplicity 4)
Dy1 0.250 0.250 0.750 (multiplicity 4)
In1 0.000 0.000 0.500 (multiplicity 4)

---

No. 7
Material: TaGeBr2
Method: DFT, PBE-GGA
State: optimized geometry

Properties
As for the uncorrected formation energy: 0.6456 eV per atom. The relative energy among the computed polymorphs is 624.4 meV per atom.

a = 6.768 Å, b = 6.768 Å, c = 6.768 Å
α = 90.00°, β = 90.00°, γ = 90.00°
Space group Fm-3m (No. 225)
Symmetry-distinct sites (fractional):
Ta1 0.000 0.000 0.000 (multiplicity 4)
Ge1 0.000 0.000 0.500 (multiplicity 4)
Br1 0.250 0.250 0.250 (multiplicity 8)

---

No. 8
Material: Hf2Al2In
Method: DFT, PBE-GGA
State: optimized geometry

Properties
Its formation energy is -223 meV/atom. The relative energy among the computed polymorphs is 0.0 meV per atom.

a = 6.996 Å, b = 6.996 Å, c = 4.016 Å
α = 90.00°, β = 90.00°, γ = 90.00°
Space group P4/mbm (No. 127)
Symmetry-distinct sites (fractional):
Hf1 0.172 0.328 0.000 (multiplicity 4)
Al1 0.126 0.626 0.500 (multiplicity 4)
In1 0.000 0.000 0.500 (multiplicity 2)

---

no.,VASP energy (eV per cell)
1,-106.25
2,-38.44
3,-60.32
4,-76.12
5,-107.38
6,-69.71
7,-68.93
8,-62.49